4
Lattice="-0.141 -1.756 -4.731 1.762 -4.617 -1.033 -3.201 -3.708 -1.222" Properties=species:S:1:pos:R:3 comment="PBE LiTbSbAu, optimized geometry" raw_formation_energy_mev_per_atom=-746 space_group="No. 216" pbc="T T T"
Au -0.395 -2.520 -1.747
Li 0.000 0.000 0.000
Sb -1.184 -7.561 -5.240
Tb -0.790 -5.041 -3.493



5
Lattice="5.367 0.000 0.000 0.000 5.043 0.000 0.000 0.000 5.367" Properties=species:S:1:pos:R:3 comment="PBE HfTcBi2Pt, optimized geometry" space_group="No. 123" delta_e_f_ev_per_atom=1.081 pbc="T T T"
Hf 0.000 2.521 0.000
Bi 0.000 0.000 2.683
Pt 0.000 0.000 0.000
Tc 2.683 2.521 2.683
Bi 2.683 0.000 0.000



10
Lattice="4.044 -2.335 0.000 0.000 4.670 0.000 0.000 0.000 24.804" Properties=species:S:1:pos:R:3 comment="PBE BaCa3Pd, optimized geometry" space_group="No. 194" delta_e_f_ev_per_atom=-0.052 pbc="T T T"
Ca 0.000 0.000 6.201
Ca 2.696 0.000 9.069
Ba 0.000 0.000 12.402
Ca 1.348 2.335 15.735
Pd 1.348 2.335 18.603
Ba 0.000 0.000 0.000
Ca 0.000 0.000 18.603
Pd 2.696 0.000 6.201
Ca 2.696 0.000 3.333
Ca 1.348 2.335 21.471



6
Lattice="4.420 0.000 0.000 -2.210 3.828 0.000 0.000 0.000 7.265" Properties=species:S:1:pos:R:3 comment="PBE HoPuGa4, optimized geometry" space_group="No. 191" delta_e_f_ev_per_atom=-0.476 pbc="T T T"
Ga 0.000 2.552 5.445
Ga 2.210 1.276 5.445
Pu 0.000 0.000 3.633
Ga 0.000 2.552 1.820
Ga 2.210 1.276 1.820
Ho 0.000 0.000 0.000



8
Lattice="7.219 0.000 0.000 0.000 7.219 0.000 3.609 3.609 5.225" Properties=species:S:1:pos:R:3 comment="PBE HgRhCl2, optimized geometry" raw_formation_energy_mev_per_atom=-45 space_group="No. 122" pbc="T T T"
Cl 9.024 7.791 3.919
Hg 7.219 3.609 2.613
Rh 3.609 7.219 2.613
Cl 4.182 1.805 1.306
Hg 0.000 0.000 0.000
Cl 3.037 5.414 1.306
Rh 3.609 3.609 0.000
Cl 5.414 6.647 3.919



10
Lattice="-2.133 1.437 -4.278 -4.347 -2.463 1.340 0.679 4.954 1.325" Properties=species:S:1:pos:R:3 comment="PBE LiLa2H6Ru, optimized geometry" space_group="No. 164" total_energy_ev_per_atom=-4.5379 pbc="T T T"
La -1.495 2.818 0.329
Li -1.067 0.718 -2.139
H -1.788 4.888 -2.009
H -3.659 1.617 1.085
Ru 0.000 0.000 0.000
H -2.141 2.311 -2.698
H -4.049 3.607 -1.311
H -4.013 -0.960 0.395
H -1.752 0.321 -0.302
La -4.306 1.110 -1.942



3
Lattice="3.712 0.000 0.000 0.000 3.712 0.000 -1.856 -1.856 7.824" Properties=species:S:1:pos:R:3 comment="PBE AcCeNd, optimized geometry" space_group="No. 107" delta_e_f_ev_per_atom=0.111 pbc="T T T"
Ac 1.856 1.856 7.711
Ce 0.000 0.000 5.158
Nd 1.856 1.856 2.778



20
Lattice="-2.716 -1.822 -2.731 7.312 -4.168 -4.489 -0.752 -7.548 5.784" Properties=species:S:1:pos:R:3 comment="PBE Na2AgPt2Au5, optimized geometry" space_group="No. 127" delta_e_f_ev_per_atom=-0.119 pbc="T T T"
Pt 2.637 -2.511 -0.947
Au 0.049 -2.263 -1.863
Na 1.782 -7.629 3.318
Au 2.276 -8.563 0.126
Au 5.300 -6.298 -4.392
Na 4.778 -4.087 -2.023
Au 3.433 -7.081 -2.013
Au -1.456 -7.240 2.955
Ag 3.280 -5.858 0.647
Au 2.298 -2.995 -3.610
Au 0.411 -6.458 0.576
Au 3.795 -11.276 0.426
Pt 0.453 -5.254 3.055
Au 1.568 -4.976 -1.563
Ag 0.000 0.000 0.000
Na 1.003 -3.196 1.135
Pt 3.923 -9.205 2.241
Pt 6.107 -6.462 -1.761
Na 5.557 -8.520 0.159
Au -1.734 -4.685 1.526



8
Lattice="7.092 0.097 0.482 0.092 7.222 0.079 -3.211 -3.589 4.784" Properties=species:S:1:pos:R:3 comment="PBE Tl2ReS5, optimized geometry" raw_formation_energy_mev_per_atom=-193 space_group="No. 1" pbc="T T T"
S 3.373 3.687 2.852
S 5.771 1.884 0.903
S 5.651 5.627 1.005
S -1.339 -2.702 4.858
Re 3.661 3.703 4.985
S -1.398 2.436 4.952
Tl 3.791 0.314 2.617
Tl 0.187 3.668 2.297



12
Lattice="-1.604 -0.195 3.693 -2.317 -3.084 -1.169 8.667 -7.782 3.353" Properties=species:S:1:pos:R:3 comment="PBE Tm2VPt9, optimized geometry" space_group="No. 123" delta_e_f_ev_per_atom=-0.882 pbc="T T T"
Pt 0.170 -2.735 -0.071
Pt 3.531 -3.989 3.523
V 0.000 0.000 0.000
Pt 3.873 -6.877 3.518
Pt 6.180 -8.131 2.254
Pt 6.536 -6.687 4.685
Tm 2.872 -2.579 1.111
Tm 5.795 -5.204 2.242
Pt 3.175 -5.433 1.092
Pt 0.527 -1.290 2.360
Pt -1.960 -1.639 1.262
Pt 0.873 -4.184 2.358



4
Lattice="-0.469 3.717 -1.889 -0.592 -2.403 -4.583 -4.778 -1.410 -1.587" Properties=species:S:1:pos:R:3 comment="PBE CuSb2Cl, optimized geometry" raw_formation_energy_mev_per_atom=-84 space_group="No. 10" pbc="T T T"
Cl -1.577 0.906 -2.487
Sb -3.102 -2.204 -3.566
Cu -4.262 -1.001 -5.572
Sb -4.953 -3.516 -5.689



12
Lattice="-3.344 -0.778 4.428 5.075 -1.450 1.882 -0.148 5.276 -1.882" Properties=species:S:1:pos:R:3 comment="PBE Cu2IrPtO8, optimized geometry" raw_formation_energy_mev_per_atom=-184 space_group="No. 119" pbc="T T T"
O -2.339 3.012 1.925
Cu -1.314 1.692 2.850
Pt 0.000 0.000 0.000
O -0.619 3.856 -0.020
O 1.767 2.809 2.059
Cu 0.865 -1.114 3.155
O -0.024 1.903 4.245
O 0.524 -0.675 4.955
O -1.838 0.495 4.245
Ir 2.896 1.356 1.578
O -1.053 1.356 0.987
O 1.492 0.105 1.862



9
Lattice="6.549 -0.457 0.597 0.226 6.898 2.775 -0.596 1.075 7.336" Properties=species:S:1:pos:R:3 comment="PBE Cs2InHg6, optimized geometry" space_group="No. 164" delta_e_f_ev_per_atom=-0.207 pbc="T T T"
Hg 2.145 1.273 2.011
Hg 3.934 3.055 7.408
Cs 5.416 2.269 3.873
Hg 4.033 6.243 8.697
In 0.000 0.000 0.000
Cs 0.763 5.247 6.835
Hg 2.245 4.460 3.301
Hg 1.865 1.777 5.403
Hg 4.313 5.739 5.305



4
Lattice="3.013 0.000 0.000 -1.506 2.609 0.000 0.000 0.000 5.136" Properties=species:S:1:pos:R:3 comment="PBE TiH, optimized geometry" space_group="No. 186" total_energy_ev_per_atom=-5.8877 pbc="T T T"
H 1.506 0.870 4.409
Ti 0.000 1.739 3.716
Ti 1.506 0.870 1.148
H 0.000 1.739 1.841



9
Lattice="-2.662 -2.532 0.844 1.582 -3.854 1.843 -1.701 0.386 4.207" Properties=species:S:1:pos:R:3 comment="PBE Fe4NiH4, optimized geometry" space_group="No. 12" total_energy_ev_per_atom=-5.8971 pbc="T T T"
Ni 0.000 0.000 0.000
Fe -0.971 -3.779 2.434
H -0.558 -3.616 4.225
Fe -0.915 -1.113 2.191
H 0.325 -2.469 2.033
Fe -1.866 -4.887 4.704
Fe -1.810 -2.221 4.461
H -3.106 -3.531 4.861
H -2.223 -2.384 2.669



6
Lattice="-4.022 -2.838 -1.574 -1.889 -3.617 -3.171 0.982 -4.930 3.718" Properties=species:S:1:pos:R:3 comment="PBE POs5, optimized geometry" space_group="No. 8" delta_e_f_ev_per_atom=0.213 pbc="T T T"
Os -4.871 -11.263 -1.010
Os -3.334 -7.872 -0.612
Os -1.559 -3.635 -0.309
P -0.818 -6.551 2.104
Os -3.230 -5.257 -1.749
Os -5.081 -9.066 -2.363



5
Lattice="-0.900 -4.184 -1.639 3.409 0.679 -3.606 3.235 -1.764 2.726" Properties=species:S:1:pos:R:3 comment="PBE MgTi2NbMo, optimized geometry" space_group="No. 123" delta_e_f_ev_per_atom=1.420 pbc="T T T"
Ti 1.617 -0.882 1.363
Ti -0.450 -2.092 -0.820
Mo 2.872 -2.635 -1.259
Nb 0.000 0.000 0.000
Mg 1.705 0.339 -1.803



10
Lattice="3.315 0.000 0.000 0.000 5.611 0.000 -1.658 0.000 10.563" Properties=species:S:1:pos:R:3 comment="PBE GeBS3, optimized geometry" raw_formation_energy_mev_per_atom=-196 space_group="No. 36" pbc="T T T"
B 1.658 5.236 7.935
S 0.000 1.683 4.398
S 0.000 4.469 8.851
B 0.000 2.431 2.628
S 0.000 4.294 2.284
S 1.658 1.489 8.279
S 1.658 1.664 1.713
Ge 1.658 5.604 3.528
S 1.658 4.488 6.165
Ge 0.000 2.799 7.035



5
Lattice="-4.849 0.347 0.226 -0.348 -1.990 -4.427 -0.224 -4.427 2.007" Properties=species:S:1:pos:R:3 comment="PBE Li3HgAu, optimized geometry" space_group="No. 221" delta_e_f_ev_per_atom=-0.180 pbc="T T T"
Li -0.174 -0.995 -2.214
Li -2.424 0.174 0.113
Hg -2.710 -3.035 -1.097
Au 0.000 0.000 0.000
Li -0.112 -2.214 1.004



10
Lattice="-3.071 3.521 4.101 -3.484 -2.602 -4.443 4.459 -3.621 2.379" Properties=species:S:1:pos:R:3 comment="PBE YC3O6, optimized geometry" raw_formation_energy_mev_per_atom=-1254 space_group="No. 160" pbc="T T T"
Y -0.003 -0.003 0.003
C -3.334 -0.012 0.170
C 0.299 -0.478 3.290
O -4.555 -0.162 0.337
O -0.352 -0.928 2.310
O -2.348 -0.672 0.595
C 0.110 -3.279 -0.618
O 0.033 -4.514 -0.713
O -0.456 -2.467 0.162
O 0.285 -0.783 4.493